[1]
First-principles (PBE-GGA) data for an optimized crystal structure of Ac6IrPt2Cl3, as listed in Alexandria.

It has space group C2/m (No. 12), with a = 20.366 Å, b = 4.405 Å, c = 9.418 Å, α = 90.00°, β = 108.55° and γ = 90.00°. The asymmetric unit holds Ac at (0.009, 0.000, 0.219), Ac at (0.153, 0.500, 0.105), Ac at (0.176, 0.500, 0.558), Ir at (0.000, 0.500, 0.000), Pt at (0.167, 0.000, 0.334), Cl at (0.000, 0.500, 0.500) and Cl at (0.165, 0.000, 0.826).

The value obtained for the total energy is -5.655 eV per atom.

[2]
First-principles (PBE-GGA) data for an optimized crystal structure of Rb2PdAuI6, as listed in Alexandria.

It has space group I4/mmm (No. 139), with a = 8.163 Å, b = 8.163 Å, c = 11.376 Å, α = 90.00°, β = 90.00° and γ = 90.00°. The asymmetric unit holds Rb at (0.000, 0.500, 0.250), Pd at (0.000, 0.000, 0.000), Au at (0.000, 0.000, 0.500), I at (0.000, 0.000, 0.252) and I at (0.240, 0.240, 0.000).

The value obtained for the total energy is -2.630 eV per atom.

[3]
First-principles (PBE-GGA) data for an optimized crystal structure of ErTl2Os3O12, as listed in Alexandria.

It has space group R-3m (No. 166, hexagonal axes), with a = 7.3133 Å, b = 7.3133 Å, c = 18.7461 Å, α = 90.00°, β = 90.00° and γ = 120.00°. The asymmetric unit holds Er at (0.0000, 0.0000, 0.0000), Tl at (0.0000, 0.0000, 0.3431), Os at (0.0000, 0.5000, 0.5000), O at (0.0400, 0.5200, 0.6000) and O at (0.0835, 0.5417, 0.8430).

The value obtained for the total energy is -6.979 eV per atom.

[4]
First-principles (PBE-GGA) data for an optimized crystal structure of Dy3Si4Os2, as listed in Alexandria.

It has space group C2/m (No. 12), with a = 11.125 Å, b = 3.906 Å, c = 8.393 Å, α = 90.00°, β = 102.89° and γ = 90.00°. The asymmetric unit holds Dy at (0.000, 0.000, 0.000), Dy at (0.173, 0.500, 0.652), Si at (0.044, 0.000, 0.381), Si at (0.223, 0.500, 0.064) and Os at (0.110, 0.500, 0.273).

The value obtained for the total energy is -7.046 eV per atom.

[5]
First-principles (PBE-GGA) data for an optimized crystal structure of Pm8Pb2C3, as listed in Alexandria.

It has space group C2/m (No. 12), with a = 15.546 Å, b = 7.446 Å, c = 6.670 Å, α = 90.00°, β = 106.35° and γ = 90.00°. The asymmetric unit holds Pm at (0.089, 0.241, 0.386), Pm at (0.096, 0.000, 0.898), Pm at (0.107, 0.500, 0.961), Pb at (0.245, 0.500, 0.670), C at (0.000, 0.000, 0.500) and C at (0.000, 0.255, 0.000).

The calculation puts the formation enthalpy at 0 K at -0.20 eV/atom.

[6]
First-principles (PBE-GGA) data for an optimized crystal structure of CePt2Au4, as listed in Alexandria.

It has space group C2/m (No. 12), with a = 9.687 Å, b = 5.509 Å, c = 5.862 Å, α = 90.00°, β = 115.71° and γ = 90.00°. The asymmetric unit holds Ce at (0.000, 0.000, 0.000), Pt at (0.067, 0.500, 0.253) and Au at (0.175, 0.248, 0.711).

The calculation puts the formation enthalpy at 0 K at -0.39 eV/atom.

[7]
First-principles (PBE-GGA) data for an optimized crystal structure of LaScNi, as listed in Alexandria.

It has space group I4mm (No. 107), with a = 3.355 Å, b = 3.355 Å, c = 12.292 Å, α = 90.00°, β = 90.00° and γ = 90.00°. The asymmetric unit holds La at (0.000, 0.000, 0.000), Sc at (0.000, 0.000, 0.265) and Ni at (0.000, 0.000, 0.663).

Its relative energy among the computed polymorphs is 0.0000 eV/atom. The calculation puts the formation enthalpy at 0 K at -0.20 eV/atom.

[8]
First-principles (PBE-GGA) data for an optimized crystal structure of LaPrPt2, as listed in Alexandria.

It has space group R3m (No. 160, hexagonal axes), with a = 4.1813 Å, b = 4.1813 Å, c = 21.6326 Å, α = 90.00°, β = 90.00° and γ = 120.00°. The asymmetric unit holds La at (0.0000, 0.0000, 0.0000), Pr at (0.0000, 0.0000, 0.1724), Pt at (0.0000, 0.0000, 0.5869) and Pt at (0.0000, 0.0000, 0.7515).

Its relative energy among the computed polymorphs is 0.1350 eV/atom. The calculation puts the formation enthalpy at 0 K at -1.03 eV/atom.

[9]
First-principles (PBE-GGA) data for an optimized crystal structure of Tl3Te, as listed in Alexandria.

It has space group R-3m (No. 166, hexagonal axes), with a = 11.1035 Å, b = 11.1035 Å, c = 3.5997 Å, α = 90.00°, β = 90.00° and γ = 120.00°. The asymmetric unit holds Tl at (0.0000, 0.5000, 0.0000) and Te at (0.0000, 0.0000, 0.0000).

Its relative energy among the computed polymorphs is 0.1209 eV/atom.

[10]
First-principles (PBE-GGA) data for an optimized crystal structure of PmHoHgTe, as listed in Alexandria.

It has space group R3m (No. 160, hexagonal axes), with a = 4.2086 Å, b = 4.2086 Å, c = 23.3393 Å, α = 90.00°, β = 90.00° and γ = 120.00°. The asymmetric unit holds Pm at (0.0000, 0.0000, 0.0000), Ho at (0.0000, 0.0000, 0.4998), Hg at (0.0000, 0.0000, 0.7527) and Te at (0.0000, 0.0000, 0.2469).

The value obtained for the total energy is -4.068 eV per atom.

[11]
First-principles (PBE-GGA) data for an optimized crystal structure of LaSmDyZn, as listed in Alexandria.

It has space group F-43m (No. 216), with a = 7.736 Å, b = 7.736 Å, c = 7.736 Å, α = 90.00°, β = 90.00° and γ = 90.00°. The asymmetric unit holds La at (0.000, 0.000, 0.000), Sm at (0.000, 0.000, 0.500), Dy at (0.250, 0.250, 0.750) and Zn at (0.250, 0.250, 0.250).

Its relative energy among the computed polymorphs is 0.1773 eV/atom. The calculation puts the formation enthalpy at 0 K at 0.03 eV/atom.